Compound: Y2Ga9Ru3
Source: the Alexandria database
Functional: GGA-PBEsol
Structure: relaxed

Structure (POSCAR):
```
Y2Ga9Ru3
1.0
-0.996 -5.189 -5.123
-2.446 -1.238 6.830
-8.429 3.900 -2.312
Y Ga Ru
4 18 6
direct
0.676 0.998 0.750
0.324 0.002 0.250
0.998 0.676 0.750
0.002 0.324 0.250
0.134 0.134 0.750
0.866 0.866 0.250
0.339 0.010 0.923
0.661 0.990 0.077
0.661 0.990 0.423
0.010 0.339 0.577
0.339 0.010 0.577
0.990 0.661 0.423
0.990 0.661 0.077
0.010 0.339 0.923
0.338 0.338 0.439
0.662 0.662 0.561
0.662 0.662 0.939
0.338 0.338 0.061
0.556 0.341 0.750
0.444 0.659 0.250
0.341 0.556 0.750
0.659 0.444 0.250
0.323 0.677 0.000
0.677 0.323 0.000
0.677 0.323 0.500
0.323 0.677 0.500
0.000 0.000 0.000
0.000 0.000 0.500
```

## Properties
N(E_F) in states/eV/atom: 0.42
Energy of formation from the pure elements in eV per atom: -0.578
Total magnetic moment in Bohr magnetons per cell: 0.00


Compound: MgBr2F
Source: the Alexandria database
Functional: GGA-PBEsol
Structure: relaxed

Structure (POSCAR):
```
MgBr2F
1.0
-0.654 -3.767 -0.634
2.447 -2.048 -2.199
4.659 -3.677 5.193
Mg Br F
1 2 1
direct
0.500 0.500 0.500
0.898 0.898 0.307
0.102 0.102 0.693
0.000 0.000 0.000
```

## Properties
N(E_F) in states/eV/atom: 0.32
Formation energy from raw total energies in eV per atom: -1.058
Total magnetic moment in Bohr magnetons per cell: 0.78


Compound: CdOs3
Source: the Alexandria database
Functional: GGA-PBEsol
Structure: relaxed

Structure (POSCAR):
```
CdOs3
1.0
2.740 0.000 0.000
0.000 3.823 0.000
0.000 0.000 5.794
Cd Os
1 3
direct
0.000 0.000 0.000
0.500 0.500 0.724
0.000 0.000 0.500
0.500 0.500 0.276
```

## Properties
Distance to the lowest polymorph of the same formula in meV/atom: 0.0
N(E_F) in states/eV/atom: 0.95
Energy of formation from the pure elements in eV per atom: 0.556
Total magnetic moment in Bohr magnetons per cell: 0.00


Compound: CaAl2Hg
Source: the Alexandria database
Functional: GGA-PBEsol
Structure: relaxed

Structure (POSCAR):
```
CaAl2Hg
1.0
4.262 0.000 0.000
0.000 4.262 0.000
-2.131 -2.131 4.811
Ca Hg Al
1 1 2
direct
0.500 0.500 0.000
0.000 0.000 0.000
0.750 0.250 0.500
0.250 0.750 0.500
```

## Properties
N(E_F) in states/eV/atom: 0.56
Energy of formation from the pure elements in eV per atom: -0.104
Total magnetic moment in Bohr magnetons per cell: 0.00